[1]
# MnCrMoPd

MnCrMoPd after structural relaxation (GGA-PBE, the Alexandria database).

Unit cell a=4.3262 b=4.3262 c=4.3262 alpha=60.00 beta=60.00 gamma=60.00
Last column: magnetic moment on the atom in μB.
Positions (direct):
1 Mo 0.5000 0.5000 0.5000  -1.01
2 Mn 0.2500 0.2500 0.2500  3.02
3 Cr 0.7500 0.7500 0.7500  2.46
4 Pd 0.0000 0.0000 0.0000  0.34

Properties
ΔH_f (0 K) (meV per atom): 95
Total DFT energy (no corrections) (eV/cell): -34.438

[2]
# MnCrReMo

MnCrReMo after structural relaxation (GGA-PBE, the Alexandria database).

Unit cell a=4.2533 b=4.2533 c=4.2533 alpha=60.00 beta=60.00 gamma=60.00
Last column: magnetic moment on the atom in μB.
Positions (direct):
1 Mo 0.5000 0.5000 0.5000  -0.26
2 Cr 0.7500 0.7500 0.7500  0.33
3 Re 0.0000 0.0000 0.0000  -0.14
4 Mn 0.2500 0.2500 0.2500  1.96

Properties
ΔH_f (0 K) (meV per atom): 97
Total DFT energy (no corrections) (eV/cell): -41.684

[3]
# MnCrMoRh

MnCrMoRh after structural relaxation (GGA-PBE, the Alexandria database).

Unit cell a=4.2743 b=4.2743 c=4.2743 alpha=60.00 beta=60.00 gamma=60.00
Last column: magnetic moment on the atom in μB.
Positions (direct):
1 Rh 0.5000 0.5000 0.5000  0.39
2 Mo 0.0000 0.0000 0.0000  -0.77
3 Cr 0.2500 0.2500 0.2500  1.77
4 Mn 0.7500 0.7500 0.7500  2.84

Properties
ΔH_f (0 K) (meV per atom): 30
Total DFT energy (no corrections) (eV/cell): -36.854

[4]
# MnCrMoRu

MnCrMoRu after structural relaxation (GGA-PBE, the Alexandria database).

Unit cell a=4.2465 b=4.2465 c=4.2465 alpha=60.00 beta=60.00 gamma=60.00
Last column: magnetic moment on the atom in μB.
Positions (direct):
1 Cr 0.0000 0.0000 0.0000  0.64
2 Mn 0.5000 0.5000 0.5000  2.64
3 Ru 0.7500 0.7500 0.7500  0.20
4 Mo 0.2500 0.2500 0.2500  -0.48

Properties
ΔH_f (0 K) (meV per atom): 105
Total DFT energy (no corrections) (eV/cell): -38.479

[5]
# ScMnCrMo

ScMnCrMo after structural relaxation (GGA-PBE, the Alexandria database).

Unit cell a=4.3522 b=4.3522 c=4.3522 alpha=60.00 beta=60.00 gamma=60.00
Last column: magnetic moment on the atom in μB.
Positions (direct):
1 Mn 0.7500 0.7500 0.7500  0.87
2 Cr 0.2500 0.2500 0.2500  1.22
3 Mo 0.5000 0.5000 0.5000  -0.54
4 Sc 0.0000 0.0000 0.0000  -0.02

Properties
ΔH_f (0 K) (meV per atom): 140
Total DFT energy (no corrections) (eV/cell): -35.397

[6]
# Mn5CrSi2Mo2

Mn5CrSi2Mo2 after structural relaxation (GGA-PBE, the Alexandria database).

Unit cell a=2.9768 b=9.0802 c=9.0802 alpha=90.00 beta=90.00 gamma=90.00
Positions (direct):
1 Si 0.0000 0.3704 0.1296
2 Mn 0.5000 0.0523 0.8025
3 Si 0.0000 0.1296 0.6296
4 Mo 0.0000 0.3256 0.8256
5 Mo 0.0000 0.1744 0.3256
6 Si 0.0000 0.8704 0.3704
7 Cr 0.0000 0.5000 0.5000
8 Mn 0.5000 0.1975 0.0523
9 Mo 0.0000 0.8256 0.6744
10 Cr 0.0000 0.0000 0.0000
11 Mn 0.5000 0.6975 0.4477
12 Mn 0.5000 0.8025 0.9477
13 Mn 0.5000 0.4477 0.3025
14 Si 0.0000 0.6296 0.8704
15 Mn 0.5000 0.5000 0.0000
16 Mn 0.5000 0.0000 0.5000
17 Mn 0.5000 0.9477 0.1975
18 Mn 0.5000 0.3025 0.5523
19 Mo 0.0000 0.6744 0.1744
20 Mn 0.5000 0.5523 0.6975

Properties
Total DFT energy (no corrections) (eV/cell): -177.159
Uncorrected formation energy (eV per atom): -0.060